# 1
The following is a PBE-GGA calculation of crystalline K2InCl at its relaxed geometry, from Alexandria.

Output
SG = I-4m2
formation energy without anion corrections = -0.59 eV per atom
crystal system = tetragonal
M_tot = 0.00 μB/f.u.

a = 7.663 Å, b = 7.663 Å, c = 7.663 Å
α = 143.33°, β = 143.33°, γ = 52.83°
Atoms (fractional coordinates):
K1 0.000 0.000 0.000
K2 0.250 0.750 0.500
Cl1 0.500 0.500 0.000
In1 0.750 0.250 0.500



# 2
The following is a PBE-GGA calculation of crystalline Tm2Si2Ir5 at its relaxed geometry, from Alexandria.

Output
SG = P4/mmm
formation energy without anion corrections = -0.83 eV per atom
crystal system = tetragonal
M_tot = 0.00 μB/f.u.

a = 4.109 Å, b = 4.109 Å, c = 8.789 Å
α = 90.00°, β = 90.00°, γ = 90.00°
Atoms (fractional coordinates):
Tm1 0.000 0.000 0.000
Tm2 0.000 0.000 0.500
Si1 0.500 0.500 0.136
Si2 0.500 0.500 0.864
Ir1 0.500 0.000 0.268
Ir2 0.500 0.000 0.732
Ir3 0.500 0.500 0.500
Ir4 0.000 0.500 0.268
Ir5 0.000 0.500 0.732



# 3
The following is a PBE-GGA calculation of crystalline Ca2AgBr2 at its relaxed geometry, from Alexandria.

Output
SG = P4/mbm
formation energy without anion corrections = -0.93 eV per atom
crystal system = tetragonal
M_tot = 0.00 μB/f.u.

a = 8.159 Å, b = 8.159 Å, c = 4.429 Å
α = 90.00°, β = 90.00°, γ = 90.00°
Atoms (fractional coordinates):
Ca1 0.328 0.828 0.000
Ca2 0.828 0.672 0.000
Ca3 0.672 0.172 0.000
Ca4 0.172 0.328 0.000
Br1 0.146 0.646 0.500
Br2 0.646 0.854 0.500
Br3 0.854 0.354 0.500
Br4 0.354 0.146 0.500
Ag1 0.000 0.000 0.000
Ag2 0.500 0.500 0.000



# 4
The following is a PBE-GGA calculation of crystalline Ti3H3Pd at its relaxed geometry, from Alexandria.

Output
E_tot = -0.4287 Ry per atom
SG = R-3
crystal system = trigonal
M_tot = 0.33 μB/f.u.

a = 5.230 Å, b = 5.230 Å, c = 7.275 Å
α = 68.93°, β = 68.93°, γ = 60.00°
Site moments in Bohr magnetons follow the coordinates.
Atoms (fractional coordinates):
Ti1 0.222 0.577 0.300  0.08
Ti2 0.901 0.222 0.300  0.08
Ti3 0.577 0.901 0.300  0.08
Ti4 0.423 0.099 0.700  0.08
Ti5 0.099 0.778 0.700  0.08
Ti6 0.778 0.423 0.700  0.08
H1 0.478 0.796 0.589  0.00
H2 0.796 0.137 0.589  0.00
H3 0.137 0.478 0.589  0.00
H4 0.863 0.522 0.411  0.00
H5 0.204 0.863 0.411  0.00
H6 0.522 0.204 0.411  0.00
Pd1 0.333 0.333 0.000  0.00
Pd2 0.667 0.667 0.000  0.00



# 5
The following is a PBE-GGA calculation of crystalline BaWAu4 at its relaxed geometry, from Alexandria.

Output
SG = F-43m
DFT formation energy = 0.44 eV/atom
crystal system = cubic
M_tot = 4.00 μB/f.u.

a = 5.731 Å, b = 5.731 Å, c = 5.731 Å
α = 60.00°, β = 60.00°, γ = 60.00°
Site moments in Bohr magnetons follow the coordinates.
Atoms (fractional coordinates):
Ba1 0.750 0.750 0.750  0.08
W1 0.000 0.000 0.000  2.81
Au1 0.878 0.374 0.374  0.04
Au2 0.374 0.374 0.878  0.04
Au3 0.374 0.878 0.374  0.04
Au4 0.374 0.374 0.374  0.04



# 6
The following is a PBE-GGA calculation of crystalline AcTcSb at its relaxed geometry, from Alexandria.

Output
SG = Fddd
formation energy without anion corrections = -0.12 eV per atom
crystal system = orthorhombic
M_tot = 0.00 μB/f.u.

a = 8.676 Å, b = 8.676 Å, c = 6.560 Å
α = 109.35°, β = 109.35°, γ = 119.93°
Atoms (fractional coordinates):
Ac1 0.625 0.375 0.250
Ac2 0.125 0.375 0.750
Ac3 0.625 0.375 0.750
Ac4 0.625 0.875 0.250
Sb1 0.078 0.922 0.500
Sb2 0.828 0.172 0.000
Sb3 0.422 0.578 0.500
Sb4 0.172 0.828 0.000
Tc1 0.129 0.629 0.258
Tc2 0.121 0.121 0.242
Tc3 0.879 0.879 0.758
Tc4 0.371 0.871 0.742



# 7
The following is a PBE-GGA calculation of crystalline SmPu2Ni2Ge2 at its relaxed geometry, from Alexandria.

Output
SG = R-3m
DFT formation energy = -0.38 eV/atom
crystal system = trigonal
M_tot = 0.02 μB/f.u.

a = 4.057 Å, b = 4.057 Å, c = 9.068 Å
α = 77.07°, β = 77.07°, γ = 60.00°
Atoms (fractional coordinates):
Sm1 0.000 0.000 0.000
Pu1 0.152 0.152 0.543
Pu2 0.848 0.848 0.457
Ni1 0.573 0.573 0.282
Ni2 0.427 0.427 0.718
Ge1 0.739 0.739 0.784
Ge2 0.261 0.261 0.216



# 8
The following is a PBE-GGA calculation of crystalline SmSiTe at its relaxed geometry, from Alexandria.

Output
SG = R-3m
formation energy without anion corrections = -0.78 eV per atom
crystal system = trigonal
M_tot = 0.00 μB/f.u.

a = 4.157 Å, b = 4.157 Å, c = 12.159 Å
α = 80.16°, β = 80.16°, γ = 60.00°
Atoms (fractional coordinates):
Te1 0.281 0.281 0.156
Te2 0.719 0.719 0.844
Si1 0.158 0.158 0.525
Si2 0.842 0.842 0.475
Sm1 0.437 0.437 0.688
Sm2 0.563 0.563 0.312



# 9
The following is a PBE-GGA calculation of crystalline ScBe2BiRh at its relaxed geometry, from Alexandria.

Output
SG = P4/mmm
DFT formation energy = 1.20 eV/atom
crystal system = tetragonal
M_tot = 0.00 μB/f.u.

a = 4.466 Å, b = 5.518 Å, c = 4.466 Å
α = 90.00°, β = 90.00°, γ = 90.00°
Atoms (fractional coordinates):
Sc1 0.000 0.500 0.000
Be1 0.000 0.000 0.500
Be2 0.500 0.000 0.000
Rh1 0.500 0.500 0.500
Bi1 0.000 0.000 0.000



# 10
The following is a PBE-GGA calculation of crystalline CaGaNi4Ge2 at its relaxed geometry, from Alexandria.

Output
SG = R-3m
DFT formation energy = -0.34 eV/atom
crystal system = trigonal
M_tot = 0.00 μB/f.u.

a = 4.009 Å, b = 4.009 Å, c = 9.125 Å
α = 77.31°, β = 77.31°, γ = 60.00°
Atoms (fractional coordinates):
Ca1 0.000 0.000 0.000
Ga1 0.500 0.500 0.500
Ni1 0.413 0.413 0.762
Ni2 0.866 0.866 0.401
Ni3 0.134 0.134 0.599
Ni4 0.587 0.587 0.238
Ge1 0.750 0.750 0.751
Ge2 0.250 0.250 0.249



# 11
The following is a PBE-GGA calculation of crystalline Hf6AlTc5 at its relaxed geometry, from Alexandria.

Output
SG = Immm
DFT formation energy = -0.50 eV/atom
crystal system = orthorhombic
M_tot = 0.00 μB/f.u.

a = 4.597 Å, b = 6.613 Å, c = 8.024 Å
α = 114.34°, β = 106.65°, γ = 90.00°
Atoms (fractional coordinates):
Hf1 0.830 0.574 0.659
Hf2 0.830 0.085 0.659
Hf3 0.500 0.737 0.000
Hf4 0.500 0.263 0.000
Hf5 0.170 0.915 0.341
Hf6 0.170 0.426 0.341
Al1 0.000 0.000 0.000
Tc1 0.660 0.160 0.321
Tc2 0.332 0.332 0.664
Tc3 0.000 0.500 0.000
Tc4 0.668 0.668 0.336
Tc5 0.340 0.840 0.679



# 12
The following is a PBE-GGA calculation of crystalline BeGeSbW at its relaxed geometry, from Alexandria.

Output
SG = P3m1
formation energy without anion corrections = 0.36 eV per atom
crystal system = trigonal
M_tot = 0.00 μB/f.u.

a = 3.739 Å, b = 3.739 Å, c = 6.308 Å
α = 90.00°, β = 90.00°, γ = 120.00°
Atoms (fractional coordinates):
Sb1 0.000 0.000 0.985
Ge1 0.000 0.000 0.434
W1 0.667 0.333 0.705
Be1 0.333 0.667 0.534



# 13
The following is a PBE-GGA calculation of crystalline Pu2NiSn at its relaxed geometry, from Alexandria.

Output
SG = P4/mmm
DFT formation energy = 0.14 eV/atom
crystal system = tetragonal
M_tot = 0.86 μB/f.u.

a = 5.235 Å, b = 3.591 Å, c = 3.591 Å
α = 90.00°, β = 90.00°, γ = 90.00°
Site moments in Bohr magnetons follow the coordinates.
Atoms (fractional coordinates):
Ni1 0.500 0.000 0.000  0.03
Sn1 0.500 0.500 0.500  -0.01
Pu1 0.000 0.000 0.500  0.45
Pu2 0.000 0.500 0.000  0.45



# 14
The following is a PBE-GGA calculation of crystalline Pm2NdThAs4 at its relaxed geometry, from Alexandria.

Output
SG = P2/m
DFT formation energy = -1.52 eV/atom
crystal system = monoclinic
M_tot = 0.00 μB/f.u.

a = 4.255 Å, b = 7.354 Å, c = 7.360 Å
α = 70.55°, β = 90.00°, γ = 90.00°
Atoms (fractional coordinates):
Pm1 0.000 0.000 0.000
Pm2 0.500 0.000 0.500
Nd1 0.500 0.500 0.000
Th1 0.000 0.500 0.500
As1 0.000 0.750 0.748
As2 0.000 0.250 0.252
As3 0.500 0.750 0.252
As4 0.500 0.250 0.748



# 15
The following is a PBE-GGA calculation of crystalline NdZnHg at its relaxed geometry, from Alexandria.

Output
SG = C2/m
DFT formation energy = -0.40 eV/atom
crystal system = monoclinic
M_tot = 0.00 μB/f.u.

a = 4.739 Å, b = 5.978 Å, c = 6.047 Å
α = 76.27°, β = 66.93°, γ = 66.65°
Atoms (fractional coordinates):
Nd1 0.521 0.233 0.725
Nd2 0.479 0.767 0.275
Zn1 0.845 0.189 0.120
Zn2 0.155 0.811 0.880
Hg1 0.177 0.359 0.286
Hg2 0.823 0.641 0.714



# 16
The following is a PBE-GGA calculation of crystalline YCuSi2 at its relaxed geometry, from Alexandria.

Output
SG = Pm
formation energy without anion corrections = -0.32 eV per atom
crystal system = monoclinic
M_tot = 0.00 μB/f.u.

a = 3.989 Å, b = 4.470 Å, c = 4.133 Å
α = 93.55°, β = 90.00°, γ = 90.00°
Atoms (fractional coordinates):
Cu1 0.500 0.205 0.847
Si1 0.000 0.919 0.925
Si2 0.500 0.931 0.333
Y1 0.000 0.445 0.395



# 17
The following is a PBE-GGA calculation of crystalline La2BeHg at its relaxed geometry, from Alexandria.

Output
SG = I-42d
DFT formation energy = 0.22 eV/atom
crystal system = tetragonal
M_tot = 0.00 μB/f.u.

a = 8.325 Å, b = 8.325 Å, c = 6.714 Å
α = 51.69°, β = 51.69°, γ = 90.00°
Atoms (fractional coordinates):
Be1 0.500 0.500 0.000
Be2 0.250 0.750 0.500
Hg1 0.000 0.000 0.000
Hg2 0.750 0.250 0.500
La1 0.574 0.125 0.250
La2 0.176 0.625 0.250
La3 0.375 0.426 0.750
La4 0.875 0.824 0.750



# 18
The following is a PBE-GGA calculation of crystalline TiCoGe at its relaxed geometry, from Alexandria.

Output
SG = P-6m2
DFT formation energy = -0.51 eV/atom
crystal system = hexagonal
M_tot = 0.74 μB/f.u.

a = 2.897 Å, b = 4.064 Å, c = 4.064 Å
α = 120.00°, β = 90.00°, γ = 90.00°
Site moments in Bohr magnetons follow the coordinates.
Atoms (fractional coordinates):
Ge1 0.167 0.333 0.667  0.02
Co1 0.166 0.000 0.000  0.54
Ti1 0.667 0.667 0.333  0.15



# 19
The following is a PBE-GGA calculation of crystalline ZnPd3Cl at its relaxed geometry, from Alexandria.

Output
SG = Pm-3m
formation energy without anion corrections = 0.43 eV per atom
crystal system = cubic
M_tot = 0.00 μB/f.u.

a = 4.575 Å, b = 4.575 Å, c = 4.575 Å
α = 90.00°, β = 90.00°, γ = 90.00°
Atoms (fractional coordinates):
Zn1 0.500 0.500 0.500
Pd1 0.000 0.500 0.000
Pd2 0.000 0.000 0.500
Pd3 0.500 0.000 0.000
Cl1 0.000 0.000 0.000



# 20
The following is a PBE-GGA calculation of crystalline Pr3Sb2Au9 at its relaxed geometry, from Alexandria.

Output
SG = Immm
formation energy without anion corrections = -0.53 eV per atom
crystal system = orthorhombic
M_tot = 0.00 μB/f.u.

a = 4.496 Å, b = 8.877 Å, c = 8.877 Å
α = 72.64°, β = 75.33°, γ = 75.33°
Atoms (fractional coordinates):
Pr1 0.000 0.000 0.000
Pr2 0.707 0.293 0.293
Pr3 0.293 0.707 0.707
Sb1 0.500 0.310 0.690
Sb2 0.500 0.690 0.310
Au1 0.000 0.500 0.500
Au2 0.653 0.976 0.719
Au3 0.347 0.024 0.281
Au4 0.653 0.719 0.976
Au5 0.347 0.281 0.024
Au6 0.855 0.855 0.435
Au7 0.145 0.145 0.565
Au8 0.855 0.435 0.855
Au9 0.145 0.565 0.145



# 21
The following is a PBE-GGA calculation of crystalline FeAs2BrCl at its relaxed geometry, from Alexandria.

Output
SG = P4/mmm
formation energy without anion corrections = 1.36 eV per atom
crystal system = tetragonal
M_tot = 0.01 μB/f.u.

a = 5.322 Å, b = 4.322 Å, c = 5.322 Å
α = 90.00°, β = 90.00°, γ = 90.00°
Site moments in Bohr magnetons follow the coordinates.
Atoms (fractional coordinates):
As1 0.000 0.000 0.500  -0.04
As2 0.500 0.000 0.000  -0.04
Fe1 0.000 0.500 0.000  0.20
Br1 0.000 0.000 0.000  0.00
Cl1 0.500 0.500 0.500  -0.02



# 22
The following is a PBE-GGA calculation of crystalline Sm2Zn5CdRh2 at its relaxed geometry, from Alexandria.

Output
SG = P4/mbm
DFT formation energy = -0.38 eV/atom
crystal system = tetragonal
M_tot = 0.00 μB/f.u.

a = 4.147 Å, b = 9.584 Å, c = 9.584 Å
α = 90.00°, β = 90.00°, γ = 90.00°
Atoms (fractional coordinates):
Sm1 0.000 0.680 0.180
Sm2 0.000 0.320 0.820
Sm3 0.000 0.180 0.320
Sm4 0.000 0.820 0.680
Zn1 0.500 0.212 0.060
Zn2 0.500 0.788 0.940
Zn3 0.500 0.060 0.788
Zn4 0.500 0.712 0.440
Zn5 0.500 0.940 0.212
Zn6 0.500 0.288 0.560
Zn7 0.500 0.560 0.712
Zn8 0.500 0.440 0.288
Zn9 0.500 0.500 0.000
Zn10 0.500 0.000 0.500
Cd1 0.000 0.000 0.000
Cd2 0.000 0.500 0.500
Rh1 0.000 0.117 0.617
Rh2 0.000 0.883 0.383
Rh3 0.000 0.617 0.883
Rh4 0.000 0.383 0.117



# 23
The following is a PBE-GGA calculation of crystalline Cs4Sr3Br10 at its relaxed geometry, from Alexandria.

Output
SG = I4/mmm
formation energy without anion corrections = -1.98 eV per atom
crystal system = tetragonal
M_tot = 0.00 μB/f.u.

a = 6.015 Å, b = 6.015 Å, c = 21.523 Å
α = 98.03°, β = 98.03°, γ = 90.00°
Atoms (fractional coordinates):
Cs1 0.569 0.569 0.137
Cs2 0.431 0.431 0.863
Cs3 0.299 0.299 0.598
Cs4 0.701 0.701 0.402
Sr1 0.144 0.144 0.287
Sr2 0.856 0.856 0.713
Sr3 0.000 0.000 0.000
Br1 0.141 0.641 0.281
Br2 0.071 0.071 0.143
Br3 0.641 0.141 0.281
Br4 0.859 0.359 0.719
Br5 0.359 0.859 0.719
Br6 0.929 0.929 0.857
Br7 0.214 0.214 0.429
Br8 0.786 0.786 0.571
Br9 0.000 0.500 0.000
Br10 0.500 0.000 0.000



# 24
The following is a PBE-GGA calculation of crystalline Tm2ScIn2 at its relaxed geometry, from Alexandria.

Output
SG = Immm
DFT formation energy = -0.32 eV/atom
crystal system = orthorhombic
M_tot = 0.00 μB/f.u.

a = 4.678 Å, b = 5.952 Å, c = 5.952 Å
α = 66.18°, β = 66.86°, γ = 66.86°
Atoms (fractional coordinates):
Tm1 0.195 0.305 0.305
Tm2 0.805 0.695 0.695
Sc1 0.000 0.000 0.000
In1 0.500 0.277 0.723
In2 0.500 0.723 0.277